Below is NpVFeO6 after structural relaxation, with properties calculated at the GGA+U level.

The structure in CIF format:
```
data_NpVFeO6
_symmetry_space_group_name_H-M 'P 42 n m'
_symmetry_Int_Tables_number 102
_symmetry_space_group_name_Hall 'P 4n -2n'
_cell_length_a 4.750
_cell_length_b 4.750
_cell_length_c 9.585
_cell_angle_alpha 90.00
_cell_angle_beta 90.00
_cell_angle_gamma 90.00
loop_
_atom_site_label
_atom_site_fract_x
_atom_site_fract_y
_atom_site_fract_z
Np1 0.000 0.000 0.000
V1 0.000 0.000 0.670
Fe1 0.000 0.000 0.329
O1 0.192 0.192 0.825
O2 0.199 0.199 0.507
O3 0.218 0.218 0.161
```

Its crystal system is tetragonal. The total energy is -0.6181 Ry/atom.